1.
The following is a PBE calculation of an optimized crystal structure of ErSc2Pd3, from Alexandria. Values from VASP.

Summary:
Formation energy from the elements: -0.897 eV/atom
Energy above the lowest structure with this stoichiometry: 2.3 meV per atom
M_tot: 0.00 μB per formula unit
Calculated total energy: -6.36 eV/atom

Structure (Quantum ESPRESSO input):
```
&SYSTEM
  ibrav = 0, nat = 12, ntyp = 3
/
ATOMIC_SPECIES
Er 167.26 Er.upf
Sc 44.96 Sc.upf
Pd 106.42 Pd.upf
CELL_PARAMETERS angstrom
4.814 0.000 0.019
2.407 7.214 0.010
-0.026 0.000 6.601
ATOMIC_POSITIONS angstrom
Er 4.814 4.832 0.019
Er 2.407 2.381 0.010
Sc -0.013 0.000 3.300
Sc 2.394 2.417 3.310
Sc 0.000 0.000 0.000
Sc 4.800 4.797 3.320
Pd 2.387 0.000 4.902
Pd 4.807 2.333 1.748
Pd 4.794 2.333 4.891
Pd 2.400 4.880 1.738
Pd 2.400 0.000 1.718
Pd 2.387 4.880 4.882
```

---

2.
The following is a PBE calculation of an optimized crystal structure of Er3Sc2Pd2, from Alexandria. Values from VASP.

Summary:
Formation energy from the elements: -0.503 eV/atom
M_tot: 0.01 μB per formula unit
Calculated total energy: -5.75 eV/atom

Structure (Quantum ESPRESSO input):
```
&SYSTEM
  ibrav = 0, nat = 7, ntyp = 3
/
ATOMIC_SPECIES
Er 167.26 Er.upf
Sc 44.96 Sc.upf
Pd 106.42 Pd.upf
CELL_PARAMETERS angstrom
-1.896 -1.962 -2.307
0.166 -3.249 5.393
-6.091 6.377 -0.418
ATOMIC_POSITIONS angstrom
Er -4.036 0.287 3.073
Er -3.784 0.879 -0.404
Er -0.948 -0.981 -1.154
Sc -5.254 3.872 1.025
Sc -2.566 -2.706 1.643
Pd -1.702 -0.051 1.442
Pd -6.119 1.217 1.226
```